! GaCuPS2, optimized geometry, DFT PBE; values from VASP
&SYSTEM
  ibrav = 0, nat = 5, ntyp = 4
/
ATOMIC_SPECIES
Ga 69.72 Ga.upf
Cu 63.55 Cu.upf
P 30.97 P.upf
S 32.06 S.upf
CELL_PARAMETERS angstrom
4.7547 0.0000 0.0000
0.0000 4.7547 0.0000
0.0000 0.0000 4.3476
ATOMIC_POSITIONS angstrom
Ga 0.0000 0.0000 0.0000
Cu 2.3773 2.3773 2.1738
P 2.3773 2.3773 0.0000
S 0.0000 2.3773 2.1738
S 2.3773 0.0000 2.1738
! - Polymorph energy (0 for the lowest one): 0 meV per atom
! - E_form (uncorrected): 573 meV per atom
! - Symmetry: P4/mmm, No. 123
! - Energy: -3.58 eV/atom